[1]
Compound: Ir2Ru
Source: Alexandria
Functional: PBE
Structure: optimized geometry

a = 4.354 Å, b = 4.354 Å, c = 2.698 Å
α = 90.00°, β = 90.00°, γ = 120.00°
Positions (direct):
Ir: 0.333 0.667 0.000
Ir: 0.667 0.333 0.000
Ru: 0.000 0.000 0.500

## Properties
The calculation puts the calculated formation energy at 0.254 eV per atom. For the density of states at the Fermi level, the calculation gives 1.61 states/eV/atom. The total energy comes out at -26.23 eV/cell. The value obtained for the energy above the most stable polymorph in this dataset is 289 meV per atom.


[2]
Compound: IrRu8
Source: Alexandria
Functional: PBE
Structure: optimized geometry

a = 6.049 Å, b = 6.049 Å, c = 6.049 Å
α = 95.74°, β = 95.74°, γ = 143.11°
Positions (direct):
Ir: 0.000 0.000 0.000
Ru: 0.000 0.334 0.334
Ru: 0.000 0.666 0.666
Ru: 0.332 0.332 0.665
Ru: 0.332 0.668 0.000
Ru: 0.334 0.000 0.334
Ru: 0.666 0.000 0.666
Ru: 0.668 0.332 0.000
Ru: 0.668 0.668 0.335

## Properties
The calculation puts the calculated formation energy at 0.075 eV per atom. For the density of states at the Fermi level, the calculation gives 1.11 states/eV/atom. The total energy comes out at -82.39 eV/cell.


[3]
Compound: Ir2Ru
Source: Alexandria
Functional: PBE
Structure: optimized geometry

a = 2.723 Å, b = 2.723 Å, c = 11.583 Å
α = 90.00°, β = 90.00°, γ = 90.00°
Positions (direct):
Ir: 0.000 0.000 0.164
Ir: 0.000 0.000 0.836
Ir: 0.500 0.500 0.336
Ir: 0.500 0.500 0.664
Ru: 0.000 0.000 0.500
Ru: 0.500 0.500 0.000

## Properties
The calculation puts the calculated formation energy at -0.025 eV per atom. For the density of states at the Fermi level, the calculation gives 1.20 states/eV/atom. The total energy comes out at -54.15 eV/cell. The value obtained for the energy above the most stable polymorph in this dataset is 9 meV per atom.


[4]
Compound: Ir2Ru
Source: Alexandria
Functional: PBE
Structure: optimized geometry

a = 9.966 Å, b = 2.753 Å, c = 6.468 Å
α = 90.00°, β = 104.28°, γ = 90.00°
Positions (direct):
Ir: 0.000 0.000 0.000
Ir: 0.056 0.000 0.609
Ir: 0.167 0.500 0.330
Ir: 0.333 0.000 0.667
Ir: 0.500 0.500 0.000
Ir: 0.556 0.500 0.609
Ir: 0.667 0.000 0.330
Ir: 0.833 0.500 0.667
Ru: 0.224 0.500 0.946
Ru: 0.387 0.000 0.274
Ru: 0.724 0.000 0.946
Ru: 0.887 0.500 0.274

## Properties
The calculation puts the calculated formation energy at -0.001 eV per atom. For the density of states at the Fermi level, the calculation gives 1.07 states/eV/atom. The total energy comes out at -108.01 eV/cell. The value obtained for the energy above the most stable polymorph in this dataset is 33 meV per atom.


[5]
Compound: Ir4Ru5
Source: Alexandria
Functional: PBE
Structure: optimized geometry

a = 6.079 Å, b = 6.079 Å, c = 6.079 Å
α = 95.71°, β = 95.71°, γ = 143.23°
Positions (direct):
Ir: 0.000 0.330 0.330
Ir: 0.000 0.670 0.670
Ir: 0.330 0.000 0.330
Ir: 0.670 0.000 0.670
Ru: 0.000 0.000 0.000
Ru: 0.334 0.334 0.668
Ru: 0.334 0.666 0.000
Ru: 0.666 0.334 0.000
Ru: 0.666 0.666 0.332

## Properties
The calculation puts the calculated formation energy at -0.003 eV per atom. For the density of states at the Fermi level, the calculation gives 1.09 states/eV/atom. The total energy comes out at -81.85 eV/cell. The value obtained for the energy above the most stable polymorph in this dataset is 0 meV per atom.


[6]
Compound: Ir3Ru4
Source: Alexandria
Functional: PBE
Structure: optimized geometry

a = 12.779 Å, b = 2.716 Å, c = 6.525 Å
α = 90.00°, β = 115.04°, γ = 90.00°
Positions (direct):
Ir: 0.000 0.000 0.000
Ir: 0.227 0.000 0.154
Ir: 0.273 0.500 0.846
Ir: 0.500 0.500 0.000
Ir: 0.727 0.500 0.154
Ir: 0.773 0.000 0.846
Ru: 0.081 0.000 0.695
Ru: 0.126 0.500 0.390
Ru: 0.374 0.000 0.610
Ru: 0.419 0.500 0.305
Ru: 0.581 0.500 0.695
Ru: 0.626 0.000 0.390
Ru: 0.874 0.500 0.610
Ru: 0.919 0.000 0.305

## Properties
The calculation puts the calculated formation energy at 0.176 eV per atom. For the density of states at the Fermi level, the calculation gives 1.15 states/eV/atom. The total energy comes out at -124.90 eV/cell. The value obtained for the energy above the most stable polymorph in this dataset is 212 meV per atom.


[7]
Compound: Ir3Ru5
Source: Alexandria
Functional: PBE
Structure: optimized geometry

a = 2.747 Å, b = 4.330 Å, c = 9.508 Å
α = 90.00°, β = 90.00°, γ = 90.00°
Positions (direct):
Ir: 0.000 0.000 0.000
Ir: 0.000 0.500 0.170
Ir: 0.500 0.000 0.256
Ru: 0.000 0.000 0.505
Ru: 0.000 0.500 0.669
Ru: 0.500 0.000 0.751
Ru: 0.500 0.500 0.423
Ru: 0.500 0.500 0.917

## Properties
The calculation puts the calculated formation energy at -0.020 eV per atom. For the density of states at the Fermi level, the calculation gives 0.96 states/eV/atom. The total energy comes out at -73.12 eV/cell. The value obtained for the energy above the most stable polymorph in this dataset is 0 meV per atom.


[8]
Compound: IrRu4
Source: Alexandria
Functional: PBE
Structure: optimized geometry

a = 4.647 Å, b = 4.647 Å, c = 4.647 Å
α = 90.00°, β = 90.00°, γ = 90.00°
Positions (direct):
Ir: 0.000 0.000 0.000
Ru: 0.000 0.000 0.500
Ru: 0.000 0.500 0.000
Ru: 0.500 0.000 0.000
Ru: 0.500 0.500 0.500

## Properties
The calculation puts the calculated formation energy at 2.102 eV per atom. For the density of states at the Fermi level, the calculation gives 1.41 states/eV/atom. The total energy comes out at -35.45 eV/cell. The value obtained for the energy above the most stable polymorph in this dataset is 2056 meV per atom.


[9]
Compound: Ir5Ru2
Source: Alexandria
Functional: PBE
Structure: optimized geometry

a = 8.879 Å, b = 8.879 Å, c = 2.691 Å
α = 90.00°, β = 90.00°, γ = 90.00°
Positions (direct):
Ir: 0.000 0.500 0.000
Ir: 0.052 0.202 0.000
Ir: 0.202 0.948 0.000
Ir: 0.298 0.448 0.000
Ir: 0.448 0.702 0.000
Ir: 0.500 0.000 0.000
Ir: 0.552 0.298 0.000
Ir: 0.702 0.552 0.000
Ir: 0.798 0.052 0.000
Ir: 0.948 0.798 0.000
Ru: 0.185 0.685 0.500
Ru: 0.315 0.185 0.500
Ru: 0.685 0.815 0.500
Ru: 0.815 0.315 0.500

## Properties
The calculation puts the calculated formation energy at 0.245 eV per atom. For the density of states at the Fermi level, the calculation gives 0.97 states/eV/atom. The total energy comes out at -122.29 eV/cell.


[10]
Compound: Ir2Ru
Source: Alexandria
Functional: PBE
Structure: optimized geometry

a = 5.433 Å, b = 3.849 Å, c = 8.209 Å
α = 90.00°, β = 90.00°, γ = 90.00°
Positions (direct):
Ir: 0.125 0.250 0.247
Ir: 0.126 0.250 0.584
Ir: 0.374 0.750 0.084
Ir: 0.375 0.750 0.747
Ir: 0.625 0.250 0.253
Ir: 0.626 0.250 0.916
Ir: 0.874 0.750 0.416
Ir: 0.875 0.750 0.753
Ru: 0.123 0.250 0.919
Ru: 0.377 0.750 0.419
Ru: 0.623 0.250 0.581
Ru: 0.877 0.750 0.081

## Properties
The calculation puts the calculated formation energy at -0.029 eV per atom. For the density of states at the Fermi level, the calculation gives 0.89 states/eV/atom. The total energy comes out at -108.34 eV/cell. The value obtained for the energy above the most stable polymorph in this dataset is 5 meV per atom.


[11]
Compound: Ir2Ru3
Source: Alexandria
Functional: PBE
Structure: optimized geometry

a = 4.219 Å, b = 4.219 Å, c = 5.241 Å
α = 90.00°, β = 90.00°, γ = 120.00°
Positions (direct):
Ir: 0.333 0.667 0.368
Ir: 0.667 0.333 0.632
Ru: 0.000 0.000 0.500
Ru: 0.333 0.667 0.877
Ru: 0.667 0.333 0.123

## Properties
The calculation puts the calculated formation energy at 0.656 eV per atom. For the density of states at the Fermi level, the calculation gives 1.23 states/eV/atom. The total energy comes out at -42.27 eV/cell. The value obtained for the energy above the most stable polymorph in this dataset is 521 meV per atom.


[12]
Compound: Ir5Ru
Source: Alexandria
Functional: PBE
Structure: optimized geometry

a = 4.419 Å, b = 2.751 Å, c = 14.276 Å
α = 90.00°, β = 90.00°, γ = 90.00°
Positions (direct):
Ir: 0.000 0.000 0.000
Ir: 0.000 0.000 0.330
Ir: 0.000 0.500 0.500
Ir: 0.000 0.500 0.830
Ir: 0.500 0.000 0.220
Ir: 0.500 0.000 0.555
Ir: 0.500 0.000 0.887
Ir: 0.500 0.500 0.055
Ir: 0.500 0.500 0.387
Ir: 0.500 0.500 0.720
Ru: 0.000 0.000 0.665
Ru: 0.000 0.500 0.165

## Properties
The calculation puts the calculated formation energy at 0.042 eV per atom. For the density of states at the Fermi level, the calculation gives 1.36 states/eV/atom. The total energy comes out at -106.66 eV/cell. The value obtained for the energy above the most stable polymorph in this dataset is 68 meV per atom.


[13]
Compound: Ir5Ru
Source: Alexandria
Functional: PBE
Structure: optimized geometry

a = 2.731 Å, b = 2.731 Å, c = 11.593 Å
α = 90.00°, β = 90.00°, γ = 90.00°
Positions (direct):
Ir: 0.000 0.000 0.000
Ir: 0.000 0.000 0.336
Ir: 0.000 0.000 0.664
Ir: 0.500 0.500 0.167
Ir: 0.500 0.500 0.833
Ru: 0.500 0.500 0.500

## Properties
The calculation puts the calculated formation energy at -0.016 eV per atom. For the density of states at the Fermi level, the calculation gives 0.81 states/eV/atom. The total energy comes out at -53.67 eV/cell. The value obtained for the energy above the most stable polymorph in this dataset is 10 meV per atom.


[14]
Compound: Ir2Ru
Source: Alexandria
Functional: PBE
Structure: optimized geometry

a = 3.317 Å, b = 3.317 Å, c = 8.085 Å
α = 90.00°, β = 90.00°, γ = 90.00°
Positions (direct):
Ir: 0.000 0.000 0.168
Ir: 0.000 0.000 0.832
Ir: 0.500 0.500 0.332
Ir: 0.500 0.500 0.668
Ru: 0.000 0.000 0.500
Ru: 0.500 0.500 0.000

## Properties
The calculation puts the calculated formation energy at 0.372 eV per atom. For the density of states at the Fermi level, the calculation gives 1.33 states/eV/atom. The total energy comes out at -51.76 eV/cell. The value obtained for the energy above the most stable polymorph in this dataset is 407 meV per atom.


[15]
Compound: Ir5Ru
Source: Alexandria
Functional: PBE
Structure: optimized geometry

a = 5.097 Å, b = 5.097 Å, c = 5.097 Å
α = 60.00°, β = 60.00°, γ = 60.00°
Positions (direct):
Ir: 0.000 0.000 0.000
Ir: 0.125 0.625 0.625
Ir: 0.625 0.125 0.625
Ir: 0.625 0.625 0.125
Ir: 0.625 0.625 0.625
Ru: 0.250 0.250 0.250

## Properties
The calculation puts the calculated formation energy at 0.695 eV per atom. For the density of states at the Fermi level, the calculation gives 1.47 states/eV/atom. The total energy comes out at -49.41 eV/cell. The value obtained for the energy above the most stable polymorph in this dataset is 721 meV per atom.


[16]
Compound: Ir2Ru3
Source: Alexandria
Functional: PBE
Structure: optimized geometry

a = 3.638 Å, b = 3.638 Å, c = 21.707 Å
α = 90.00°, β = 90.00°, γ = 120.00°
Positions (direct):
Ir: 0.000 0.000 0.103
Ir: 0.000 0.000 0.897
Ir: 0.333 0.667 0.564
Ir: 0.333 0.667 0.770
Ir: 0.667 0.333 0.230
Ir: 0.667 0.333 0.436
Ru: 0.000 0.000 0.306
Ru: 0.000 0.000 0.500
Ru: 0.000 0.000 0.694
Ru: 0.333 0.667 0.167
Ru: 0.333 0.667 0.361
Ru: 0.333 0.667 0.973
Ru: 0.667 0.333 0.027
Ru: 0.667 0.333 0.639
Ru: 0.667 0.333 0.833

## Properties
The calculation puts the calculated formation energy at 1.075 eV per atom. For the density of states at the Fermi level, the calculation gives 1.52 states/eV/atom. The total energy comes out at -120.52 eV/cell. The value obtained for the energy above the most stable polymorph in this dataset is 940 meV per atom.


[17]
Compound: Ir2Ru
Source: Alexandria
Functional: PBE
Structure: optimized geometry

a = 8.238 Å, b = 4.757 Å, c = 4.390 Å
α = 90.00°, β = 90.00°, γ = 90.00°
Positions (direct):
Ir: 0.166 0.167 0.250
Ir: 0.166 0.833 0.750
Ir: 0.334 0.333 0.750
Ir: 0.334 0.667 0.250
Ir: 0.666 0.333 0.750
Ir: 0.666 0.667 0.250
Ir: 0.834 0.167 0.250
Ir: 0.834 0.833 0.750
Ru: 0.000 0.334 0.750
Ru: 0.000 0.666 0.250
Ru: 0.500 0.166 0.250
Ru: 0.500 0.834 0.750

## Properties
The calculation puts the calculated formation energy at -0.005 eV per atom. For the density of states at the Fermi level, the calculation gives 1.19 states/eV/atom. The total energy comes out at -108.05 eV/cell. The value obtained for the energy above the most stable polymorph in this dataset is 30 meV per atom.


[18]
Compound: Ir7Ru5
Source: Alexandria
Functional: PBE
Structure: optimized geometry

a = 6.091 Å, b = 6.091 Å, c = 8.606 Å
α = 115.20°, β = 115.20°, γ = 36.83°
Positions (direct):
Ir: 0.000 0.000 0.000
Ir: 0.085 0.085 0.746
Ir: 0.250 0.250 0.249
Ir: 0.334 0.334 0.998
Ir: 0.414 0.414 0.745
Ir: 0.500 0.500 0.496
Ir: 0.667 0.667 0.997
Ru: 0.167 0.167 0.497
Ru: 0.583 0.583 0.248
Ru: 0.749 0.749 0.744
Ru: 0.832 0.832 0.497
Ru: 0.918 0.918 0.248

## Properties
The calculation puts the calculated formation energy at -0.020 eV per atom. For the density of states at the Fermi level, the calculation gives 0.92 states/eV/atom. The total energy comes out at -108.64 eV/cell. The value obtained for the energy above the most stable polymorph in this dataset is 0 meV per atom.


[19]
Compound: Ir2Ru
Source: Alexandria
Functional: PBE
Structure: optimized geometry

a = 2.718 Å, b = 2.718 Å, c = 24.108 Å
α = 90.00°, β = 90.00°, γ = 90.00°
Positions (direct):
Ir: 0.000 0.250 0.297
Ir: 0.000 0.250 0.453
Ir: 0.000 0.750 0.547
Ir: 0.000 0.750 0.703
Ir: 0.500 0.250 0.047
Ir: 0.500 0.250 0.203
Ir: 0.500 0.750 0.797
Ir: 0.500 0.750 0.953
Ru: 0.000 0.250 0.875
Ru: 0.000 0.750 0.125
Ru: 0.500 0.250 0.625
Ru: 0.500 0.750 0.375

## Properties
The calculation puts the calculated formation energy at 0.130 eV per atom. For the density of states at the Fermi level, the calculation gives 0.99 states/eV/atom. The total energy comes out at -106.43 eV/cell. The value obtained for the energy above the most stable polymorph in this dataset is 165 meV per atom.


[20]
Compound: Ir2Ru
Source: Alexandria
Functional: PBE
Structure: optimized geometry

a = 2.699 Å, b = 3.892 Å, c = 18.034 Å
α = 90.00°, β = 90.00°, γ = 90.00°
Positions (direct):
Ir: 0.000 0.250 0.047
Ir: 0.000 0.250 0.190
Ir: 0.000 0.750 0.810
Ir: 0.000 0.750 0.953
Ir: 0.500 0.250 0.310
Ir: 0.500 0.250 0.453
Ir: 0.500 0.750 0.547
Ir: 0.500 0.750 0.690
Ru: 0.000 0.250 0.614
Ru: 0.000 0.750 0.386
Ru: 0.500 0.250 0.886
Ru: 0.500 0.750 0.114

## Properties
The calculation puts the calculated formation energy at 0.312 eV per atom. For the density of states at the Fermi level, the calculation gives 0.99 states/eV/atom. The total energy comes out at -104.24 eV/cell. The value obtained for the energy above the most stable polymorph in this dataset is 347 meV per atom.